Record 1
## TbHo3Ru (PBE)

Data for a relaxed TbHo3Ru crystal.

```
TbHo3Ru
1.0
-5.226 -1.555 -2.902
3.122 -0.159 -5.538
1.576 -7.348 1.100
Tb Ru Ho
2 2 6
direct
0.930 0.021 0.201
0.430 0.331 0.701
0.675 0.675 0.201
0.175 0.677 0.701
0.421 0.334 0.201
0.426 0.856 0.951
0.926 0.497 0.951
0.926 0.497 0.451
0.921 0.019 0.701
0.426 0.856 0.450
```

Results
- E above lowest polymorph (eV/f.u.) = 0.00


Record 2
## LaMnCd2 (PBE)

Data for a relaxed LaMnCd2 crystal.

```
LaMnCd2
1.0
-2.328 4.509 -2.714
-3.599 -4.489 0.101
-1.221 1.042 2.778
La Mn Cd
1 1 2
direct
0.500 0.000 0.500
0.000 0.500 0.500
0.000 0.000 0.000
0.500 0.500 0.000
```


Record 3
## La2BeZn3Cu12 (PBE)

Data for a relaxed La2BeZn3Cu12 crystal.

```
La2BeZn3Cu12
1.0
9.026 1.593 1.130
5.843 7.062 1.130
5.843 3.401 6.292
Cu Zn La Be
12 3 2 1
direct
0.421 0.421 0.809
0.665 0.064 0.064
0.936 0.936 0.335
0.064 0.665 0.064
0.335 0.936 0.936
0.579 0.579 0.191
0.191 0.579 0.579
0.809 0.421 0.421
0.579 0.191 0.579
0.936 0.335 0.936
0.421 0.809 0.421
0.064 0.064 0.665
0.000 0.000 0.500
0.000 0.500 0.000
0.500 0.000 0.000
0.656 0.656 0.656
0.344 0.344 0.344
0.000 0.000 0.000
```


no.,V (Å³ per atom),calculated formation energy (eV per atom)
1,29.84,-0.1454
2,24.71,0.2132
3,16.34,0.1026